Entry 1:
Here is crystalline Ce2In8Co at its relaxed geometry from Alexandria via LeMat-Bulk. Energies are from PBEsol.

The structure in CIF format:
```
data_Ce2In8Co
_cell_length_a 4.567
_cell_length_b 4.567
_cell_length_c 12.024
_cell_angle_alpha 90.00
_cell_angle_beta 90.00
_cell_angle_gamma 90.00
_symmetry_space_group_name_H-M 'P 1'
_symmetry_Int_Tables_number 1
loop_
_symmetry_equiv_pos_as_xyz
'x,y,z'
loop_
_atom_site_label
_atom_site_fract_x
_atom_site_fract_y
_atom_site_fract_z
Ce1 0.000 0.000 0.195
Ce2 0.000 0.000 0.805
In1 0.000 0.500 0.000
In2 0.000 0.500 0.382
In3 0.000 0.500 0.618
In4 0.500 0.000 0.000
In5 0.500 0.000 0.382
In6 0.500 0.000 0.618
In7 0.500 0.500 0.193
In8 0.500 0.500 0.807
Co1 0.000 0.000 0.500
```

Calculated formation energy ... -339 meV per atom
E_tot ... -4.41 eV per atom
Space-group type ... P4/mmm
Theoretical density ... 8.33 Mg/m³
Volume ... 22.79 A^3/atom

Entry 2:
Here is crystalline K2MgW at its relaxed geometry from Alexandria via LeMat-Bulk. Energies are from PBEsol.

The structure in CIF format:
```
data_K2MgW
_cell_length_a 5.141
_cell_length_b 5.141
_cell_length_c 9.586
_cell_angle_alpha 91.33
_cell_angle_beta 91.33
_cell_angle_gamma 31.74
_symmetry_space_group_name_H-M 'P 1'
_symmetry_Int_Tables_number 1
loop_
_symmetry_equiv_pos_as_xyz
'x,y,z'
loop_
_atom_site_label
_atom_site_fract_x
_atom_site_fract_y
_atom_site_fract_z
K1 0.000 0.000 0.000
K2 0.241 0.241 0.594
Mg1 0.487 0.487 0.344
W1 0.752 0.752 0.253
```

Calculated formation energy ... 1186 meV per atom
E_tot ... -3.26 eV per atom
Space-group type ... Cm
Theoretical density ... 3.57 Mg/m³
Volume ... 33.31 A^3/atom

Entry 3:
Here is crystalline LiRhSN2 at its relaxed geometry from Alexandria via LeMat-Bulk. Energies are from PBEsol.

The structure in CIF format:
```
data_LiRhSN2
_cell_length_a 3.701
_cell_length_b 3.701
_cell_length_c 5.141
_cell_angle_alpha 90.00
_cell_angle_beta 90.00
_cell_angle_gamma 90.00
_symmetry_space_group_name_H-M 'P 1'
_symmetry_Int_Tables_number 1
loop_
_symmetry_equiv_pos_as_xyz
'x,y,z'
loop_
_atom_site_label
_atom_site_fract_x
_atom_site_fract_y
_atom_site_fract_z
Li1 0.000 0.000 0.000
Rh1 0.500 0.500 0.500
S1 0.500 0.500 0.000
N1 0.000 0.500 0.500
N2 0.500 0.000 0.500
```

Uncorrected formation energy ... 0.522 eV per atom
E_tot ... -5.79 eV per atom
Space-group type ... P4/mmm
Theoretical density ... 4.01 Mg/m³
Volume ... 14.08 A^3/atom

Entry 4:
Here is crystalline BaCa2Os at its relaxed geometry from Alexandria via LeMat-Bulk. Energies are from PBEsol.

The structure in CIF format:
```
data_BaCa2Os
_cell_length_a 3.467
_cell_length_b 3.467
_cell_length_c 10.256
_cell_angle_alpha 90.00
_cell_angle_beta 90.00
_cell_angle_gamma 90.00
_symmetry_space_group_name_H-M 'P 1'
_symmetry_Int_Tables_number 1
loop_
_symmetry_equiv_pos_as_xyz
'x,y,z'
loop_
_atom_site_label
_atom_site_fract_x
_atom_site_fract_y
_atom_site_fract_z
Ba1 0.000 0.000 0.000
Ca1 0.500 0.500 0.341
Ca2 0.500 0.500 0.659
Os1 0.000 0.000 0.500
```

Calculated formation energy ... 472 meV per atom
E_tot ... -4.19 eV per atom
Space-group type ... P4/mmm
Theoretical density ... 5.49 Mg/m³
Volume ... 30.82 A^3/atom
Polymorph energy (0 for the lowest one) ... 0 meV per atom

Entry 5:
Here is crystalline CaZrO3 at its relaxed geometry from Alexandria via LeMat-Bulk. Energies are from PBEsol.

The structure in CIF format:
```
data_CaZrO3
_cell_length_a 5.732
_cell_length_b 11.289
_cell_length_c 7.989
_cell_angle_alpha 90.00
_cell_angle_beta 90.00
_cell_angle_gamma 90.00
_symmetry_space_group_name_H-M 'P 1'
_symmetry_Int_Tables_number 1
loop_
_symmetry_equiv_pos_as_xyz
'x,y,z'
loop_
_atom_site_label
_atom_site_fract_x
_atom_site_fract_y
_atom_site_fract_z
Ca1 0.206 0.137 0.000
Ca2 0.243 0.112 0.500
Ca3 0.257 0.612 0.500
Ca4 0.294 0.637 0.000
Ca5 0.706 0.363 0.000
Ca6 0.743 0.388 0.500
Ca7 0.757 0.888 0.500
Ca8 0.794 0.863 0.000
Zr1 0.241 0.375 0.250
Zr2 0.241 0.375 0.750
Zr3 0.259 0.875 0.250
Zr4 0.259 0.875 0.750
Zr5 0.741 0.125 0.250
Zr6 0.741 0.125 0.750
Zr7 0.759 0.625 0.250
Zr8 0.759 0.625 0.750
O1 0.000 0.000 0.310
O2 0.000 0.000 0.690
O3 0.000 0.500 0.322
O4 0.000 0.500 0.678
O5 0.027 0.740 0.184
O6 0.027 0.740 0.816
O7 0.228 0.932 0.000
O8 0.243 0.816 0.500
O9 0.257 0.316 0.500
O10 0.272 0.432 0.000
O11 0.473 0.240 0.184
O12 0.473 0.240 0.816
O13 0.500 0.000 0.322
O14 0.500 0.000 0.678
O15 0.500 0.500 0.310
O16 0.500 0.500 0.690
O17 0.527 0.760 0.184
O18 0.527 0.760 0.816
O19 0.728 0.568 0.000
O20 0.743 0.684 0.500
O21 0.757 0.184 0.500
O22 0.772 0.068 0.000
O23 0.973 0.260 0.184
O24 0.973 0.260 0.816
```

Uncorrected formation energy ... -3.329 eV per atom
E_tot ... -8.72 eV per atom
Space-group type ... Pbam
Theoretical density ... 4.61 Mg/m³
Volume ... 12.92 A^3/atom

Entry 6:
Here is crystalline K2TlIrF6 at its relaxed geometry from Alexandria via LeMat-Bulk. Energies are from PBEsol.

The structure in CIF format:
```
data_K2TlIrF6
_cell_length_a 6.405
_cell_length_b 6.405
_cell_length_c 6.405
_cell_angle_alpha 60.00
_cell_angle_beta 60.00
_cell_angle_gamma 60.00
_symmetry_space_group_name_H-M 'P 1'
_symmetry_Int_Tables_number 1
loop_
_symmetry_equiv_pos_as_xyz
'x,y,z'
loop_
_atom_site_label
_atom_site_fract_x
_atom_site_fract_y
_atom_site_fract_z
K1 0.250 0.250 0.250
K2 0.750 0.750 0.750
Tl1 0.000 0.000 0.000
Ir1 0.500 0.500 0.500
F1 0.278 0.278 0.722
F2 0.278 0.722 0.278
F3 0.278 0.722 0.722
F4 0.722 0.278 0.278
F5 0.722 0.278 0.722
F6 0.722 0.722 0.278
```

Uncorrected formation energy ... -1.978 eV per atom
E_tot ... -4.61 eV per atom
Space-group type ... Fm-3m
Theoretical density ... 5.26 Mg/m³
Volume ... 18.58 A^3/atom

Entry 7:
Here is crystalline Ru3Se at its relaxed geometry from Alexandria via LeMat-Bulk. Energies are from PBEsol.

The structure in CIF format:
```
data_Ru3Se
_cell_length_a 8.383
_cell_length_b 8.383
_cell_length_c 8.383
_cell_angle_alpha 19.20
_cell_angle_beta 19.20
_cell_angle_gamma 19.20
_symmetry_space_group_name_H-M 'P 1'
_symmetry_Int_Tables_number 1
loop_
_symmetry_equiv_pos_as_xyz
'x,y,z'
loop_
_atom_site_label
_atom_site_fract_x
_atom_site_fract_y
_atom_site_fract_z
Ru1 0.000 0.000 0.000
Ru2 0.248 0.248 0.248
Ru3 0.752 0.752 0.752
Se1 0.500 0.500 0.500
```

Uncorrected formation energy ... 0.264 eV per atom
E_tot ... -8.33 eV per atom
Space-group type ... R-3m
Theoretical density ... 11.40 Mg/m³
Volume ... 13.92 A^3/atom

Entry 8:
Here is crystalline KSc2Os at its relaxed geometry from Alexandria via LeMat-Bulk. Energies are from PBEsol.

The structure in CIF format:
```
data_KSc2Os
_cell_length_a 4.814
_cell_length_b 4.814
_cell_length_c 3.454
_cell_angle_alpha 90.00
_cell_angle_beta 90.00
_cell_angle_gamma 91.31
_symmetry_space_group_name_H-M 'P 1'
_symmetry_Int_Tables_number 1
loop_
_symmetry_equiv_pos_as_xyz
'x,y,z'
loop_
_atom_site_label
_atom_site_fract_x
_atom_site_fract_y
_atom_site_fract_z
K1 0.000 0.000 0.000
Sc1 0.000 0.500 0.500
Sc2 0.500 0.000 0.500
Os1 0.500 0.500 0.000
```

Calculated formation energy ... 718 meV per atom
E_tot ... -5.92 eV per atom
Space-group type ... Cmmm
Theoretical density ... 6.63 Mg/m³
Volume ... 20.00 A^3/atom
Polymorph energy (0 for the lowest one) ... 789 meV per atom

Entry 9:
Here is crystalline IrRu at its relaxed geometry from Alexandria via LeMat-Bulk. Energies are from PBEsol.

The structure in CIF format:
```
data_IrRu
_cell_length_a 2.710
_cell_length_b 4.299
_cell_length_c 4.696
_cell_angle_alpha 90.00
_cell_angle_beta 90.00
_cell_angle_gamma 90.00
_symmetry_space_group_name_H-M 'P 1'
_symmetry_Int_Tables_number 1
loop_
_symmetry_equiv_pos_as_xyz
'x,y,z'
loop_
_atom_site_label
_atom_site_fract_x
_atom_site_fract_y
_atom_site_fract_z
Ir1 0.250 0.250 0.086
Ir2 0.750 0.750 0.914
Ru1 0.250 0.750 0.418
Ru2 0.750 0.250 0.582
```

Calculated formation energy ... -31 meV per atom
E_tot ... -10.03 eV per atom
Space-group type ... Pmmn
Theoretical density ... 17.80 Mg/m³
Volume ... 13.68 A^3/atom
Polymorph energy (0 for the lowest one) ... 19 meV per atom

Entry 10:
Here is crystalline YZn3Cu at its relaxed geometry from Alexandria via LeMat-Bulk. Energies are from PBEsol.

The structure in CIF format:
```
data_YZn3Cu
_cell_length_a 5.368
_cell_length_b 5.368
_cell_length_c 5.368
_cell_angle_alpha 90.00
_cell_angle_beta 90.00
_cell_angle_gamma 90.00
_symmetry_space_group_name_H-M 'P 1'
_symmetry_Int_Tables_number 1
loop_
_symmetry_equiv_pos_as_xyz
'x,y,z'
loop_
_atom_site_label
_atom_site_fract_x
_atom_site_fract_y
_atom_site_fract_z
Y1 0.000 0.000 0.000
Zn1 0.000 0.000 0.500
Zn2 0.000 0.500 0.000
Zn3 0.500 0.000 0.000
Cu1 0.500 0.500 0.500
```

Calculated formation energy ... 1361 meV per atom
E_tot ... -1.82 eV per atom
Space-group type ... Pm-3m
Theoretical density ... 3.74 Mg/m³
Volume ... 30.94 A^3/atom
Polymorph energy (0 for the lowest one) ... 1420 meV per atom

Entry 11:
Here is crystalline MgBiMoO5 at its relaxed geometry from Alexandria via LeMat-Bulk. Energies are from PBEsol.

The structure in CIF format:
```
data_MgBiMoO5
_cell_length_a 5.270
_cell_length_b 15.562
_cell_length_c 9.761
_cell_angle_alpha 90.00
_cell_angle_beta 90.00
_cell_angle_gamma 90.00
_symmetry_space_group_name_H-M 'P 1'
_symmetry_Int_Tables_number 1
loop_
_symmetry_equiv_pos_as_xyz
'x,y,z'
loop_
_atom_site_label
_atom_site_fract_x
_atom_site_fract_y
_atom_site_fract_z
Mg1 0.017 0.082 0.154
Mg2 0.017 0.418 0.654
Mg3 0.483 0.582 0.154
Mg4 0.483 0.918 0.654
Mg5 0.517 0.082 0.346
Mg6 0.517 0.418 0.846
Mg7 0.983 0.582 0.346
Mg8 0.983 0.918 0.846
Bi1 0.077 0.249 0.368
Bi2 0.077 0.251 0.868
Bi3 0.423 0.749 0.368
Bi4 0.423 0.751 0.868
Bi5 0.577 0.249 0.132
Bi6 0.577 0.251 0.632
Bi7 0.923 0.749 0.132
Bi8 0.923 0.751 0.632
Mo1 0.072 0.066 0.617
Mo2 0.072 0.434 0.117
Mo3 0.428 0.566 0.617
Mo4 0.428 0.934 0.117
Mo5 0.572 0.066 0.883
Mo6 0.572 0.434 0.383
Mo7 0.928 0.566 0.883
Mo8 0.928 0.934 0.383
O1 0.051 0.674 0.813
O2 0.051 0.826 0.313
O3 0.170 0.550 0.022
O4 0.170 0.950 0.522
O5 0.187 0.623 0.512
O6 0.187 0.877 0.012
O7 0.217 0.667 0.227
O8 0.217 0.833 0.727
O9 0.249 0.510 0.761
O10 0.249 0.990 0.261
O11 0.251 0.010 0.761
O12 0.251 0.490 0.261
O13 0.283 0.167 0.227
O14 0.283 0.333 0.727
O15 0.313 0.123 0.512
O16 0.313 0.377 0.012
O17 0.330 0.050 0.022
O18 0.330 0.450 0.522
O19 0.449 0.174 0.813
O20 0.449 0.326 0.313
O21 0.551 0.674 0.687
O22 0.551 0.826 0.187
O23 0.670 0.550 0.478
O24 0.670 0.950 0.978
O25 0.687 0.623 0.988
O26 0.687 0.877 0.488
O27 0.717 0.667 0.273
O28 0.717 0.833 0.773
O29 0.749 0.510 0.739
O30 0.749 0.990 0.239
O31 0.751 0.010 0.739
O32 0.751 0.490 0.239
O33 0.783 0.167 0.273
O34 0.783 0.333 0.773
O35 0.813 0.123 0.988
O36 0.813 0.377 0.488
O37 0.830 0.050 0.478
O38 0.830 0.450 0.978
O39 0.949 0.174 0.687
O40 0.949 0.326 0.187
```

Uncorrected formation energy ... -1.895 eV per atom
E_tot ... -7.40 eV per atom
Space-group type ... Pbca
Theoretical density ... 6.79 Mg/m³
Volume ... 12.51 A^3/atom
Polymorph energy (0 for the lowest one) ... 0 meV per atom

Entry 12:
Here is crystalline KCa3Al at its relaxed geometry from Alexandria via LeMat-Bulk. Energies are from PBEsol.

The structure in CIF format:
```
data_KCa3Al
_cell_length_a 5.814
_cell_length_b 5.814
_cell_length_c 5.814
_cell_angle_alpha 90.00
_cell_angle_beta 90.00
_cell_angle_gamma 90.00
_symmetry_space_group_name_H-M 'P 1'
_symmetry_Int_Tables_number 1
loop_
_symmetry_equiv_pos_as_xyz
'x,y,z'
loop_
_atom_site_label
_atom_site_fract_x
_atom_site_fract_y
_atom_site_fract_z
K1 0.000 0.000 0.000
Ca1 0.000 0.000 0.500
Ca2 0.000 0.500 0.000
Ca3 0.500 0.000 0.000
Al1 0.500 0.500 0.500
```

Calculated formation energy ... 1092 meV per atom
E_tot ... -1.23 eV per atom
Space-group type ... Pm-3m
Theoretical density ... 1.57 Mg/m³
Volume ... 39.30 A^3/atom
Polymorph energy (0 for the lowest one) ... 985 meV per atom